[1]
CuHg (GGA-PBE, relaxed); SG = R-3m, No. 166; DOS at the Fermi energy = 0.62 states/eV/f.u.; energy of formation = 0.47 eV per formula unit; M_tot = 0.00 Bohr magnetons per cell
1.0
-3.415 3.937 -0.980
-4.510 0.217 -2.781
-5.046 0.797 1.421
Cu Hg
2 2
direct
0.817 0.817 0.817
0.183 0.183 0.183
0.607 0.607 0.607
0.393 0.393 0.393

=====

[2]
Cu7Hg (GGA-PBE, relaxed); SG = Fm-3m, No. 225; DOS at the Fermi energy = 2.27 states/eV/f.u.; energy of formation = 0.77 eV per formula unit; M_tot = 0.00 Bohr magnetons per cell
1.0
4.366 -0.710 2.936
1.595 3.799 3.348
-0.416 -0.735 5.242
Cu Hg
7 1
direct
0.000 0.500 0.500
0.500 0.000 0.500
0.500 0.500 0.000
0.000 0.000 0.500
0.000 0.500 0.000
0.500 0.000 0.000
0.500 0.500 0.500
0.000 0.000 0.000

=====

[3]
CuHg2 (GGA-PBE, relaxed); SG = P-3m1, No. 164; DOS at the Fermi energy = 1.08 states/eV/f.u.; energy of formation = 0.71 eV per formula unit; M_tot = 0.00 Bohr magnetons per cell
1.0
3.665 0.000 0.000
-1.833 3.174 0.000
0.000 0.000 5.632
Cu Hg
1 2
direct
0.000 0.000 0.000
0.333 0.667 0.297
0.667 0.333 0.703

=====

[4]
CuHg (GGA-PBE, relaxed); SG = P6_3/mmc, No. 194; DOS at the Fermi energy = 0.61 states/eV/f.u.; energy of formation = 0.34 eV per formula unit; M_tot = 0.00 Bohr magnetons per cell
1.0
7.929 0.000 0.000
-3.964 6.867 0.000
0.000 0.000 4.261
Cu Hg
6 6
direct
0.440 0.881 0.250
0.560 0.440 0.750
0.119 0.560 0.250
0.560 0.119 0.750
0.440 0.560 0.250
0.881 0.440 0.750
0.816 0.633 0.250
0.184 0.816 0.750
0.367 0.184 0.250
0.184 0.367 0.750
0.816 0.184 0.250
0.633 0.816 0.750

=====

[5]
CuHg3 (GGA-PBE, relaxed); SG = Pm-3m, No. 221; DOS at the Fermi energy = 2.42 states/eV/f.u.; energy of formation = 1.06 eV per formula unit; M_tot = 0.00 Bohr magnetons per cell; energy above the lowest structure with this stoichiometry = 146 meV per atom
1.0
4.381 0.000 0.000
0.000 4.381 0.000
0.000 0.000 4.381
Cu Hg
1 3
direct
0.000 0.000 0.000
0.000 0.500 0.500
0.500 0.000 0.500
0.500 0.500 0.000

=====

[6]
Cu2Hg (GGA-PBE, relaxed); SG = I4_1/amd, No. 141; DOS at the Fermi energy = 0.94 states/eV/f.u.; energy of formation = 0.46 eV per formula unit; M_tot = 0.00 Bohr magnetons per cell
1.0
-12.126 -3.209 -1.008
-9.959 -5.262 -5.612
11.560 1.874 4.607
Hg Cu
4 8
direct
0.920 0.920 0.000
0.080 0.080 0.000
0.170 0.670 0.500
0.330 0.830 0.500
0.750 0.750 0.000
0.250 0.250 0.000
0.000 0.500 0.500
0.500 0.000 0.500
0.573 0.573 0.000
0.427 0.427 0.000
0.823 0.323 0.500
0.677 0.177 0.500

=====

[7]
CuHg (GGA-PBE, relaxed); SG = Cm, No. 8; DOS at the Fermi energy = 1.00 states/eV/f.u.; energy of formation = 0.34 eV per formula unit; M_tot = 0.00 Bohr magnetons per cell
1.0
1.645 -5.811 -2.810
3.915 -5.303 -0.961
-1.321 -5.745 3.200
Cu Hg
3 3
direct
0.971 0.971 0.968
0.361 0.361 0.330
0.752 0.752 0.188
0.661 0.661 0.659
0.061 0.061 0.261
0.361 0.361 0.761

=====

[8]
Cu5Hg3 (GGA-PBE, relaxed); SG = P6_3/mcm, No. 193; DOS at the Fermi energy = 6.56 states/eV/f.u.; energy of formation = 2.07 eV per formula unit; M_tot = 0.00 Bohr magnetons per cell; energy above the lowest structure with this stoichiometry = 84 meV per atom
1.0
-1.029 -3.080 -7.368
7.130 3.085 2.114
1.379 -4.283 1.598
Hg Cu
6 10
direct
0.616 0.000 0.250
0.384 0.000 0.750
0.000 0.616 0.250
0.384 0.384 0.250
0.616 0.616 0.750
0.000 0.384 0.750
0.333 0.667 0.000
0.667 0.333 0.500
0.667 0.333 0.000
0.333 0.667 0.500
0.181 0.000 0.250
0.819 0.000 0.750
0.000 0.181 0.250
0.819 0.819 0.250
0.181 0.181 0.750
0.000 0.819 0.750